VASP calculation (GGA-PBE) on a relaxed BaCd4Sn3 crystal.

- density (g/cm³) = 6.8
- uncorrected energy (eV per atom) = -2.43

Cell lengths 5.025, 5.025, 9.110 Å; angles 90.00, 90.00, 90.00 degrees
Space group P4/mmm (No. 123)
Symmetry-distinct sites (fractional):
Ba 0.000 0.000 0.000 x1
Cd 0.000 0.500 0.322 x4
Sn 0.000 0.000 0.500 x1
Sn 0.500 0.500 0.157 x2

***

VASP calculation (GGA-PBE) on a relaxed BaCdSn2 crystal.

- density (g/cm³) = 6.4
- uncorrected energy (eV per atom) = -2.96

Cell lengths 7.961, 7.961, 7.961 Å; angles 90.00, 90.00, 90.00 degrees
Space group F-43m (No. 216)
Symmetry-distinct sites (fractional):
Ba 0.000 0.000 0.000 x4
Cd 0.250 0.250 0.250 x4
Sn 0.000 0.000 0.500 x4
Sn 0.250 0.250 0.750 x4

***

VASP calculation (GGA-PBE) on a relaxed BaTlCd2Sn crystal.

- density (g/cm³) = 7.5
- uncorrected energy (eV per atom) = -2.37

Cell lengths 4.918, 4.918, 12.485 Å; angles 90.00, 90.00, 90.00 degrees
Space group P4/nmm (No. 129, origin choice 2)
Symmetry-distinct sites (fractional):
Ba 0.250 0.250 0.240 x2
Tl 0.250 0.750 0.500 x2
Cd 0.250 0.250 0.640 x2
Cd 0.250 0.750 0.000 x2
Sn 0.250 0.250 0.867 x2

***

VASP calculation (GGA-PBE) on a relaxed Ba3SrCd2 crystal.

- density (g/cm³) = 4.5
- uncorrected energy (eV per atom) = -1.78

Cell lengths 4.221, 4.221, 14.930 Å; angles 90.00, 90.00, 90.00 degrees
Space group P4mm (No. 99)
Symmetry-distinct sites (fractional):
Ba 0.000 0.000 0.000 x1
Ba 0.000 0.000 0.272 x1
Ba 0.500 0.500 0.763 x1
Sr 0.500 0.500 0.499 x1
Cd 0.000 0.000 0.624 x1
Cd 0.500 0.500 0.134 x1

***

VASP calculation (GGA-PBE) on a relaxed BaSrCd crystal.

- density (g/cm³) = 4.4
- uncorrected energy (eV per atom) = -1.73

Cell lengths 4.167, 4.167, 14.685 Å; angles 90.00, 90.00, 90.00 degrees
Space group P4/mmm (No. 123)
Symmetry-distinct sites (fractional):
Ba 0.000 0.000 0.140 x2
Sr 0.500 0.500 0.369 x2
Cd 0.000 0.000 0.500 x1
Cd 0.500 0.500 0.000 x1

***

VASP calculation (GGA-PBE) on a relaxed Ba2Sr2Cd crystal.

- density (g/cm³) = 3.9
- uncorrected energy (eV per atom) = -1.65

Cell lengths 5.658, 21.939, 7.779 Å; angles 90.00, 90.00, 90.00 degrees
Space group Cmc2_1 (No. 36)
Symmetry-distinct sites (fractional):
Ba 0.000 0.091 0.000 x4
Ba 0.000 0.280 0.678 x4
Sr 0.000 0.350 0.160 x4
Sr 0.000 0.477 0.799 x4
Cd 0.000 0.081 0.507 x4

***

VASP calculation (GGA-PBE) on a relaxed BaSr3Cd2 crystal.

- density (g/cm³) = 4.3
- uncorrected energy (eV per atom) = -1.70

Cell lengths 4.109, 4.109, 14.446 Å; angles 90.00, 90.00, 90.00 degrees
Space group P4mm (No. 99)
Symmetry-distinct sites (fractional):
Ba 0.000 0.000 0.000 x1
Sr 0.000 0.000 0.722 x1
Sr 0.500 0.500 0.231 x1
Sr 0.500 0.500 0.500 x1
Cd 0.000 0.000 0.363 x1
Cd 0.500 0.500 0.853 x1

***

VASP calculation (GGA-PBE) on a relaxed BaSrCdTe3 crystal.

- density (g/cm³) = 5.4
- uncorrected energy (eV per atom) = -3.61

Cell lengths 9.919, 4.750, 18.639 Å; angles 90.00, 90.00, 90.00 degrees
Space group Pnma (No. 62)
Symmetry-distinct sites (fractional):
Ba 0.072 0.250 0.211 x4
Sr 0.244 0.750 0.464 x4
Cd 0.130 0.250 0.635 x4
Te 0.015 0.250 0.406 x4
Te 0.117 0.750 0.063 x4
Te 0.196 0.250 0.784 x4

***

VASP calculation (GGA-PBE) on a relaxed BaSrCdTe3 crystal.

- density (g/cm³) = 5.4
- uncorrected energy (eV per atom) = -3.60

Cell lengths 9.825, 4.674, 19.251 Å; angles 90.00, 90.00, 90.00 degrees
Space group Pnma (No. 62)
Symmetry-distinct sites (fractional):
Ba 0.240 0.250 0.034 x4
Sr 0.068 0.250 0.781 x4
Cd 0.127 0.250 0.363 x4
Te 0.020 0.250 0.597 x4
Te 0.107 0.750 0.920 x4
Te 0.198 0.250 0.220 x4

***

VASP calculation (GGA-PBE) on a relaxed BaSrTlCd crystal.

- density (g/cm³) = 6.2
- uncorrected energy (eV per atom) = -2.10

Cell lengths 8.336, 8.336, 8.336 Å; angles 90.00, 90.00, 90.00 degrees
Space group F-43m (No. 216)
Symmetry-distinct sites (fractional):
Ba 0.000 0.000 0.000 x4
Sr 0.000 0.000 0.500 x4
Tl 0.250 0.250 0.250 x4
Cd 0.250 0.250 0.750 x4

***

VASP calculation (GGA-PBE) on a relaxed BaSrTlCd crystal.

- density (g/cm³) = 6.6
- uncorrected energy (eV per atom) = -1.87

Cell lengths 8.177, 8.177, 8.177 Å; angles 90.00, 90.00, 90.00 degrees
Space group F-43m (No. 216)
Symmetry-distinct sites (fractional):
Ba 0.000 0.000 0.000 x4
Sr 0.250 0.250 0.250 x4
Tl 0.000 0.000 0.500 x4
Cd 0.250 0.250 0.750 x4

***

VASP calculation (GGA-PBE) on a relaxed BaTa2Cd crystal.

- density (g/cm³) = 10.9
- uncorrected energy (eV per atom) = -5.73
- total magnetization (μB per formula unit) = 0.0

Cell lengths 7.201, 7.201, 7.201 Å; angles 90.00, 90.00, 90.00 degrees
Space group F-43m (No. 216)
Symmetry-distinct sites (fractional):
Ba 0.000 0.000 0.000 x4
Ta 0.000 0.000 0.500 x4
Ta 0.250 0.250 0.750 x4
Cd 0.250 0.250 0.250 x4